(1)
The following is a DFT calculation (PBE) of a geometry-optimized Rb2Ta2O5 structure.

Results
Raw total energy (eV per cell): -140.05
Crystal system: orthorhombic

Cell: 9.0740 9.0740 9.0740 Å, 142.15 54.40 142.42°
Closest atoms and distances in Å follow each position.
Fractional coordinates of all 18 atoms:
Rb 0.1297 0.0077 0.1220  10 O 2.85-2.99
Rb 0.3857 0.0077 0.3780  10 O 2.85-2.99
Rb 0.6143 0.9923 0.6220  10 O 2.85-2.99
Rb 0.8703 0.9923 0.8780  10 O 2.85-2.99
Ta 0.0000 0.5000 0.5000  6 O 2.06-2.07
Ta 0.2172 0.4672 0.7500  4 O 1.94-1.98
Ta 0.5000 0.5000 0.0000  6 O 2.06-2.07
Ta 0.7828 0.5328 0.2500  4 O 1.94-1.98
O 0.0000 0.0000 0.5000  2 Ta 1.94
O 0.0000 0.5000 0.0000  2 Ta 1.94
O 0.1312 0.5033 0.6279  2 Ta 1.98-2.06
O 0.2490 0.0000 0.7490  2 Ta 2.07
O 0.2490 0.5000 0.2490  2 Ta 2.07
O 0.3754 0.5033 0.8721  2 Ta 1.98-2.06
O 0.6246 0.4967 0.1279  2 Ta 1.98-2.06
O 0.7510 0.0000 0.2510  2 Ta 2.07
O 0.7510 0.5000 0.7510  2 Ta 2.07
O 0.8688 0.4967 0.3721  2 Ta 1.98-2.06

(2)
The following is a DFT calculation (PBE) of a geometry-optimized ZrSbW structure.

Results
Raw total energy (eV per cell): -24.96
Energy above the most stable polymorph in this dataset (eV/atom): 0.1387
Crystal system: orthorhombic

Cell: 7.1116 6.8932 3.1104 Å, 81.12 73.27 25.60°
Closest atoms and distances in Å follow each position.
Fractional coordinates of all 3 atoms:
Zr 0.0000 0.0000 0.0000  2 W 2.81, 2 Sb 2.99, 4 Zr 3.11
Sb 0.6785 0.6785 0.3215  2 W 2.80, 2 Zr 2.99, 4 Sb 3.11
W 0.3389 0.3389 0.6611  2 Sb 2.80, 2 Zr 2.81, 4 W 3.11

(3)
The following is a DFT calculation (PBE) of a geometry-optimized Pr2ReC structure.

Results
Raw total energy (eV per cell): -27.04
Crystal system: trigonal
ΔH_f (0 K) (eV per atom): 1.048

Cell: 9.0555 9.0555 9.0555 Å, 21.80 21.80 21.80°
Closest atoms and distances in Å follow each position.
Fractional coordinates of all 4 atoms:
Pr 0.1093 0.1093 0.1093  3 C 2.49
Pr 0.8907 0.8907 0.8907  3 C 2.49
Re 0.0000 0.0000 0.0000  2 Pr 2.90
C 0.5000 0.5000 0.5000  6 Pr 2.49

(4)
The following is a DFT calculation (PBE) of a geometry-optimized Y2GaCo2 structure.

Results
Raw total energy (eV per cell): -30.84
Crystal system: tetragonal
ΔH_f (0 K) (eV per atom): -0.135

Cell: 9.0756 9.0756 9.0756 Å, 158.59 158.59 30.46°
Closest atoms and distances in Å follow each position.
Fractional coordinates of all 5 atoms:
Y 0.1147 0.1147 0.0000  4 Co 2.91, 4 Ga 3.12
Y 0.8853 0.8853 0.0000  4 Co 2.91, 4 Ga 3.12
Ga 0.5000 0.5000 0.0000  8 Y 3.12, 4 Ga 3.37
Co 0.2500 0.7500 0.5000  4 Co 2.38
Co 0.7500 0.2500 0.5000  4 Co 2.38

(5)
The following is a DFT calculation (PBE) of a geometry-optimized RbLiUF6 structure.

Results
Raw total energy (eV per cell): -109.30
Crystal system: orthorhombic

Cell: 7.4417 7.4417 7.4417 Å, 123.89 114.80 91.32°
Closest atoms and distances in Å follow each position.
Fractional coordinates of all 18 atoms:
Rb 0.3418 0.0918 0.2500  5 F 2.88-3.04
Rb 0.6582 0.9082 0.7500  5 F 2.88-3.04
Li 0.0000 0.0000 0.5000  6 F 2.07-2.17
Li 0.0000 0.5000 0.0000  6 F 2.07-2.17
U 0.0000 0.5000 0.5000  6 F 2.22-2.34
U 0.5000 0.5000 0.0000  6 F 2.22-2.34
F 0.0810 0.3604 0.2025  1 Li 2.17, 1 U 2.22
F 0.0810 0.8785 0.7205  1 Li 2.17, 1 U 2.22
F 0.1071 0.3571 0.7500  2 Li 2.07
F 0.3421 0.1215 0.7025  1 Li 2.17, 1 U 2.22
F 0.3421 0.6396 0.2205  1 Li 2.17, 1 U 2.22
F 0.3660 0.6160 0.7500  2 U 2.34
F 0.6340 0.3840 0.2500  2 U 2.34
F 0.6579 0.3604 0.7795  1 Li 2.17, 1 U 2.22
F 0.6579 0.8785 0.2975  1 Li 2.17, 1 U 2.22
F 0.8929 0.6429 0.2500  2 Li 2.07
F 0.9190 0.1215 0.2795  1 Li 2.17, 1 U 2.22
F 0.9190 0.6396 0.7975  1 Li 2.17, 1 U 2.22

(6)
The following is a DFT calculation (PBE) of a geometry-optimized Cd5Ag2Au2 structure.

Results
Raw total energy (eV per cell): -34.27
Energy above the most stable polymorph in this dataset (eV/atom): 0.0865
Crystal system: orthorhombic
ΔH_f (0 K) (eV per atom): -0.034

Cell: 8.0630 8.0630 6.9954 Å, 90.00 90.00 58.14°
Closest atoms and distances in Å follow each position.
Fractional coordinates of all 18 atoms:
Cd 0.0000 0.0000 0.0000  4 Au 2.82-2.97, 2 Ag 2.91
Cd 0.0343 0.6857 0.6686  3 Ag 2.82-2.96, 2 Au 2.84-2.88
Cd 0.1857 0.5343 0.1686  3 Ag 2.82-2.96, 2 Au 2.84-2.88
Cd 0.3143 0.9657 0.6686  3 Ag 2.82-2.96, 2 Au 2.84-2.88
Cd 0.4657 0.8143 0.1686  3 Ag 2.82-2.96, 2 Au 2.84-2.88
Cd 0.5000 0.5000 0.5000  4 Au 2.82-2.97, 2 Ag 2.91
Cd 0.5343 0.1857 0.8314  3 Ag 2.82-2.96, 2 Au 2.84-2.88
Cd 0.6857 0.0343 0.3314  3 Ag 2.82-2.96, 2 Au 2.84-2.88
Cd 0.8143 0.4657 0.8314  3 Ag 2.82-2.96, 2 Au 2.84-2.88
Cd 0.9657 0.3143 0.3314  3 Ag 2.82-2.96, 2 Au 2.84-2.88
Ag 0.2064 0.2064 0.0000  7 Cd 2.82-2.96
Ag 0.2936 0.2936 0.5000  7 Cd 2.82-2.96
Ag 0.7064 0.7064 0.5000  7 Cd 2.82-2.96
Ag 0.7936 0.7936 0.0000  7 Cd 2.82-2.96
Au 0.1388 0.8612 0.3719  1 Au 2.82, 6 Cd 2.82-2.97
Au 0.3612 0.6388 0.8719  1 Au 2.82, 6 Cd 2.82-2.97
Au 0.6388 0.3612 0.1281  1 Au 2.82, 6 Cd 2.82-2.97
Au 0.8612 0.1388 0.6281  1 Au 2.82, 6 Cd 2.82-2.97

(7)
The following is a DFT calculation (PBE) of a geometry-optimized TiBeIr3 structure.

Results
Raw total energy (eV per cell): -39.40
Crystal system: cubic
ΔH_f (0 K) (eV per atom): -0.240

Cell: 4.1236 4.1236 4.1236 Å, 90.00 90.00 90.00°
Closest atoms and distances in Å follow each position.
Fractional coordinates of all 5 atoms:
Ti 0.0000 0.0000 0.0000  12 Ir 2.92
Be 0.5000 0.5000 0.5000  6 Ir 2.06
Ir 0.0000 0.5000 0.5000  2 Be 2.06
Ir 0.5000 0.0000 0.5000  2 Be 2.06
Ir 0.5000 0.5000 0.0000  2 Be 2.06

(8)
The following is a DFT calculation (PBE) of a geometry-optimized LaPu2CdO8 structure.

Results
Raw total energy (eV per cell): -103.99
Crystal system: tetragonal

Cell: 6.5667 6.5667 6.5667 Å, 130.77 130.77 72.18°
Closest atoms and distances in Å follow each position.
Fractional coordinates of all 12 atoms:
La 0.0000 0.0000 0.0000  8 O 2.44
Pu 0.2500 0.7500 0.5000  8 O 2.26
Pu 0.5000 0.5000 0.0000  8 O 2.26
Cd 0.7500 0.2500 0.5000  8 O 2.43
O 0.1521 0.1256 0.5287  2 Pu 2.26, 1 Cd 2.43, 1 O 2.43, 1 La 2.44
O 0.1521 0.6233 0.0264  2 Pu 2.26, 1 Cd 2.43, 1 O 2.43, 1 La 2.44
O 0.3767 0.4031 0.5287  2 Pu 2.26, 1 Cd 2.43, 1 O 2.43, 1 La 2.44
O 0.3767 0.8479 0.9736  2 Pu 2.26, 1 Cd 2.43, 1 O 2.43, 1 La 2.44
O 0.5969 0.1256 0.9736  2 Pu 2.26, 1 Cd 2.43, 1 O 2.43, 1 La 2.44
O 0.5969 0.6233 0.4713  2 Pu 2.26, 1 Cd 2.43, 1 O 2.43, 1 La 2.44
O 0.8744 0.4031 0.0264  2 Pu 2.26, 1 Cd 2.43, 1 O 2.43, 1 La 2.44
O 0.8744 0.8479 0.4713  2 Pu 2.26, 1 Cd 2.43, 1 O 2.43, 1 La 2.44